# PmHfBi3 (PBE-GGA, relaxed)
# DOS(E_F), states/eV/f.u.: 2.693
# Size of the total moment, μB per formula unit: 0.0
# Electronic total energy, eV per cell: -114.48
# Formation energy, eV/atom: -0.454
data_PmHfBi3
_space_group_name_H-M_alt 'P b c m'
_space_group_IT_number 57
_space_group_name_Hall '-P 2c 2b'
_cell_length_a 13.679
_cell_length_b 6.667
_cell_length_c 6.513
_cell_angle_alpha 90.00
_cell_angle_beta 90.00
_cell_angle_gamma 90.00
loop_
_atom_site_label
_atom_site_fract_x
_atom_site_fract_y
_atom_site_fract_z
Pm1 0.183 0.011 0.250
Hf1 0.406 0.750 0.000
Bi1 0.003 0.750 0.000
Bi2 0.257 0.513 0.250
Bi3 0.421 0.120 0.250